# AcAsPd4 (GGA-PBE, optimized geometry)
# Excess energy over the best structure of this formula in the dataset ... 0 meV/atom
# Total energy ... -66.46 eV/cell
# V ... 19.55 Å³/atom
# DFT formation energy ... -0.62 eV per atom
data_AcAsPd4
_symmetry_space_group_name_H-M 'P m m a'
_symmetry_Int_Tables_number 51
_cell_length_a 7.5639
_cell_length_b 4.2131
_cell_length_c 7.3604
_cell_angle_alpha 90.00
_cell_angle_beta 90.00
_cell_angle_gamma 90.00
loop_
_symmetry_equiv_pos_as_xyz
'x,y,z'
'-x,-y,-z'
'-x+1/2,-y,z'
'x+1/2,y,-z'
'x+1/2,-y,-z'
'-x+1/2,y,z'
'-x,y,-z'
'x,-y,z'
loop_
_atom_site_label
_atom_site_fract_x
_atom_site_fract_y
_atom_site_fract_z
Ac1 0.2500 0.0000 0.1404
As1 0.2500 0.0000 0.7170
Pd1 0.0000 0.0000 0.5000
Pd2 0.0572 0.5000 0.7922
Pd3 0.2500 0.5000 0.4435

***

# Th2ZnGa3Co4 (GGA-PBE, optimized geometry)
# Total energy ... -57.35 eV/cell
# V ... 16.79 Å³/atom
# DFT formation energy ... -0.37 eV per atom
data_Th2ZnGa3Co4
_symmetry_space_group_name_H-M 'P -4 m 2'
_symmetry_Int_Tables_number 115
_cell_length_a 4.1013
_cell_length_b 4.1013
_cell_length_c 9.9805
_cell_angle_alpha 90.00
_cell_angle_beta 90.00
_cell_angle_gamma 90.00
loop_
_symmetry_equiv_pos_as_xyz
'x,y,z'
'y,-x,-z'
'-x,-y,z'
'-y,x,-z'
'-x,y,z'
'-y,-x,-z'
'x,-y,z'
'y,x,-z'
loop_
_atom_site_label
_atom_site_fract_x
_atom_site_fract_y
_atom_site_fract_z
Th1 0.0000 0.5000 0.2418
Zn1 0.0000 0.0000 0.5000
Ga1 0.0000 0.5000 0.8793
Ga2 0.5000 0.5000 0.5000
Co1 0.0000 0.0000 0.0000
Co2 0.0000 0.5000 0.6392
Co3 0.5000 0.5000 0.0000

***

# Ac2GdAs (GGA-PBE, optimized geometry)
# Excess energy over the best structure of this formula in the dataset ... 39 meV/atom
# Total energy ... -28.85 eV/cell
# V ... 34.72 Å³/atom
# DFT formation energy ... -0.48 eV per atom
data_Ac2GdAs
_symmetry_space_group_name_H-M 'P 4/m m m'
_symmetry_Int_Tables_number 123
_symmetry_space_group_name_Hall '-P 4 2'
_cell_length_a 3.9838
_cell_length_b 3.9838
_cell_length_c 8.7503
_cell_angle_alpha 90.00
_cell_angle_beta 90.00
_cell_angle_gamma 90.00
loop_
_atom_site_label
_atom_site_fract_x
_atom_site_fract_y
_atom_site_fract_z
Ac1 0.0000 0.0000 0.2011
Gd1 0.5000 0.5000 0.5000
As1 0.5000 0.5000 0.0000

***

# YZrIn2Cl (GGA-PBE, optimized geometry)
# ΔE_f (raw) ... 0.040 eV per atom
# Total energy ... -22.13 eV/cell
# V ... 27.70 Å³/atom
data_YZrIn2Cl
_symmetry_space_group_name_H-M 'P 4/m m m'
_symmetry_Int_Tables_number 123
_symmetry_space_group_name_Hall '-P 4 2'
_cell_length_a 5.3873
_cell_length_b 5.3873
_cell_length_c 4.7727
_cell_angle_alpha 90.00
_cell_angle_beta 90.00
_cell_angle_gamma 90.00
loop_
_atom_site_label
_atom_site_fract_x
_atom_site_fract_y
_atom_site_fract_z
Y1 0.0000 0.0000 0.0000
Zr1 0.5000 0.5000 0.0000
In1 0.0000 0.5000 0.5000
Cl1 0.5000 0.5000 0.5000

***

# SrH3Pt (GGA-PBE, optimized geometry)
# Total energy ... -117.64 eV/cell
# V ... 12.42 Å³/atom
data_SrH3Pt
_symmetry_space_group_name_H-M 'R -3 m'
_symmetry_Int_Tables_number 166
_symmetry_space_group_name_Hall '-R 3 2"'
_cell_length_a 5.1420
_cell_length_b 5.1420
_cell_length_c 16.2691
_cell_angle_alpha 90.00
_cell_angle_beta 90.00
_cell_angle_gamma 120.00
loop_
_atom_site_label
_atom_site_fract_x
_atom_site_fract_y
_atom_site_fract_z
Sr1 0.0000 0.0000 0.1039
H1 0.0096 0.5048 0.0742
Pt1 0.0000 0.0000 0.3080

***

# Pr2RhCl (GGA-PBE, optimized geometry)
# ΔE_f (raw) ... -1.165 eV per atom
# Excess energy over the best structure of this formula in the dataset ... 0 meV/atom
# Total energy ... -70.25 eV/cell
# V ... 28.05 Å³/atom
data_Pr2RhCl
_symmetry_space_group_name_H-M 'R -3 m'
_symmetry_Int_Tables_number 166
_symmetry_space_group_name_Hall '-R 3 2"'
_cell_length_a 4.1175
_cell_length_b 4.1175
_cell_length_c 22.9297
_cell_angle_alpha 90.00
_cell_angle_beta 90.00
_cell_angle_gamma 120.00
loop_
_atom_site_label
_atom_site_fract_x
_atom_site_fract_y
_atom_site_fract_z
Pr1 0.0000 0.0000 0.2351
Rh1 0.0000 0.0000 0.5000
Cl1 0.0000 0.0000 0.0000

***

# Tl2In4Pt (GGA-PBE, optimized geometry)
# Total energy ... -43.80 eV/cell
# V ... 31.50 Å³/atom
# DFT formation energy ... -0.02 eV per atom
data_Tl2In4Pt
_symmetry_space_group_name_H-M 'I 4/m m m'
_symmetry_Int_Tables_number 139
_symmetry_space_group_name_Hall '-I 4 2'
_cell_length_a 5.1632
_cell_length_b 5.1632
_cell_length_c 16.5447
_cell_angle_alpha 90.00
_cell_angle_beta 90.00
_cell_angle_gamma 90.00
loop_
_atom_site_label
_atom_site_fract_x
_atom_site_fract_y
_atom_site_fract_z
Tl1 0.0000 0.0000 0.1520
In1 0.0000 0.0000 0.3353
In2 0.0000 0.5000 0.0000
Pt1 0.0000 0.0000 0.5000

***

# TeIrI2 (GGA-PBE, optimized geometry)
# ΔE_f (raw) ... 0.384 eV per atom
# Total energy ... -54.26 eV/cell
# V ... 31.39 Å³/atom
data_TeIrI2
_symmetry_space_group_name_H-M 'I -4 2 d'
_symmetry_Int_Tables_number 122
_symmetry_space_group_name_Hall 'I -4 2bw'
_cell_length_a 9.3996
_cell_length_b 9.3996
_cell_length_c 5.6845
_cell_angle_alpha 90.00
_cell_angle_beta 90.00
_cell_angle_gamma 90.00
loop_
_atom_site_label
_atom_site_fract_x
_atom_site_fract_y
_atom_site_fract_z
Te1 0.0000 0.0000 0.0000
Ir1 0.0000 0.0000 0.5000
I1 0.1131 0.2500 0.6250

***

# CaTc2Ru (GGA-PBE, optimized geometry)
# Excess energy over the best structure of this formula in the dataset ... 48 meV/atom
# Total energy ... -60.75 eV/cell
# V ... 17.04 Å³/atom
# DFT formation energy ... 0.41 eV per atom
data_CaTc2Ru
_symmetry_space_group_name_H-M 'C 1 2/m 1'
_symmetry_Int_Tables_number 12
_cell_length_a 11.1953
_cell_length_b 2.8599
_cell_length_c 4.6835
_cell_angle_alpha 90.00
_cell_angle_beta 114.61
_cell_angle_gamma 90.00
loop_
_symmetry_equiv_pos_as_xyz
'x,y,z'
'-x,-y,-z'
'-x,y,-z'
'x,-y,z'
'x+1/2,y+1/2,z'
'-x+1/2,-y+1/2,-z'
'-x+1/2,y+1/2,-z'
'x+1/2,-y+1/2,z'
loop_
_atom_site_label
_atom_site_fract_x
_atom_site_fract_y
_atom_site_fract_z
Ca1 0.0000 0.0000 0.0000
Tc1 0.2163 0.0000 0.7162
Ru1 0.0000 0.5000 0.5000

***

# Nd4YHo2Sc (GGA-PBE, optimized geometry)
# Total energy ... -40.79 eV/cell
# V ... 32.28 Å³/atom
# DFT formation energy ... 0.03 eV per atom
data_Nd4YHo2Sc
_symmetry_space_group_name_H-M 'P m m m'
_symmetry_Int_Tables_number 47
_cell_length_a 5.1032
_cell_length_b 5.1153
_cell_length_c 9.8920
_cell_angle_alpha 90.00
_cell_angle_beta 90.00
_cell_angle_gamma 90.00
loop_
_symmetry_equiv_pos_as_xyz
'x,y,z'
'-x,-y,-z'
'-x,-y,z'
'x,y,-z'
'x,-y,-z'
'-x,y,z'
'-x,y,-z'
'x,-y,z'
loop_
_atom_site_label
_atom_site_fract_x
_atom_site_fract_y
_atom_site_fract_z
Nd1 0.0000 0.0000 0.2439
Nd2 0.5000 0.5000 0.2441
Y1 0.0000 0.5000 0.5000
Ho1 0.0000 0.5000 0.0000
Ho2 0.5000 0.0000 0.5000
Sc1 0.5000 0.0000 0.0000

***

# NiPSe2 (GGA-PBE, optimized geometry)
# ΔE_f (raw) ... 0.142 eV per atom
# Total energy ... -35.19 eV/cell
# V ... 24.39 Å³/atom
data_NiPSe2
_symmetry_space_group_name_H-M 'I m m 2'
_symmetry_Int_Tables_number 44
_cell_length_a 2.6231
_cell_length_b 4.9964
_cell_length_c 14.8857
_cell_angle_alpha 90.00
_cell_angle_beta 90.00
_cell_angle_gamma 90.00
loop_
_symmetry_equiv_pos_as_xyz
'x,y,z'
'-x,-y,z'
'-x,y,z'
'x,-y,z'
'x+1/2,y+1/2,z+1/2'
'-x+1/2,-y+1/2,z+1/2'
'-x+1/2,y+1/2,z+1/2'
'x+1/2,-y+1/2,z+1/2'
loop_
_atom_site_label
_atom_site_fract_x
_atom_site_fract_y
_atom_site_fract_z
Ni1 0.0000 0.0000 0.0000
P1 0.0000 0.5000 0.3768
Se1 0.0000 0.0000 0.4203
Se2 0.0000 0.5000 0.6337

***

# LaY2Hg4 (GGA-PBE, optimized geometry)
# Total energy ... -21.31 eV/cell
# V ... 29.21 Å³/atom
# DFT formation energy ... -0.32 eV per atom
data_LaY2Hg4
_symmetry_space_group_name_H-M 'P 4/m m m'
_symmetry_Int_Tables_number 123
_symmetry_space_group_name_Hall '-P 4 2'
_cell_length_a 5.2962
_cell_length_b 5.2962
_cell_length_c 7.2901
_cell_angle_alpha 90.00
_cell_angle_beta 90.00
_cell_angle_gamma 90.00
loop_
_atom_site_label
_atom_site_fract_x
_atom_site_fract_y
_atom_site_fract_z
La1 0.0000 0.0000 0.0000
Y1 0.0000 0.0000 0.5000
Y2 0.5000 0.5000 0.0000
Hg1 0.0000 0.5000 0.2715

***

# UAu2I8 (GGA-PBE, optimized geometry)
# ΔE_f (raw) ... -0.409 eV per atom
# Excess energy over the best structure of this formula in the dataset ... 0 meV/atom
# Total energy ... -34.74 eV/cell
# V ... 46.27 Å³/atom
data_UAu2I8
_symmetry_space_group_name_H-M 'P -1'
_symmetry_Int_Tables_number 2
_cell_length_a 7.5595
_cell_length_b 8.5476
_cell_length_c 8.7394
_cell_angle_alpha 94.13
_cell_angle_beta 107.03
_cell_angle_gamma 106.88
loop_
_symmetry_equiv_pos_as_xyz
'x,y,z'
'-x,-y,-z'
loop_
_atom_site_label
_atom_site_fract_x
_atom_site_fract_y
_atom_site_fract_z
U1 0.0000 0.0000 0.0000
Au1 0.3909 0.3136 0.3129
I1 0.2324 0.8651 0.8556
I2 0.2349 0.3423 0.9908
I3 0.2375 0.4989 0.5004
I4 0.2416 0.9806 0.3295

***

# CaSi2Se (GGA-PBE, optimized geometry)
# ΔE_f (raw) ... -0.362 eV per atom
# Total energy ... -17.78 eV/cell
# V ... 24.00 Å³/atom
data_CaSi2Se
_symmetry_space_group_name_H-M 'P 4 m m'
_symmetry_Int_Tables_number 99
_cell_length_a 3.6694
_cell_length_b 3.6694
_cell_length_c 7.1305
_cell_angle_alpha 90.00
_cell_angle_beta 90.00
_cell_angle_gamma 90.00
loop_
_symmetry_equiv_pos_as_xyz
'x,y,z'
'-y,x,z'
'-x,-y,z'
'y,-x,z'
'-x,y,z'
'y,x,z'
'x,-y,z'
'-y,-x,z'
loop_
_atom_site_label
_atom_site_fract_x
_atom_site_fract_y
_atom_site_fract_z
Ca1 0.0000 0.0000 0.0000
Si1 0.0000 0.0000 0.5737
Si2 0.5000 0.5000 0.4957
Se1 0.5000 0.5000 0.1520

***

# DyErTl3 (GGA-PBE, optimized geometry)
# Total energy ... -64.43 eV/cell
# V ... 30.40 Å³/atom
# DFT formation energy ... 0.03 eV per atom
data_DyErTl3
_symmetry_space_group_name_H-M 'C m c m'
_symmetry_Int_Tables_number 63
_symmetry_space_group_name_Hall '-C 2c 2'
_cell_length_a 7.4380
_cell_length_b 12.9076
_cell_length_c 6.3326
_cell_angle_alpha 90.00
_cell_angle_beta 90.00
_cell_angle_gamma 90.00
loop_
_atom_site_label
_atom_site_fract_x
_atom_site_fract_y
_atom_site_fract_z
Dy1 0.0000 0.0000 0.0000
Er1 0.0000 0.3335 0.2500
Tl1 0.0000 0.1999 0.7500
Tl2 0.2000 0.3997 0.7500

***

# SrEuAu (GGA-PBE, optimized geometry)
# Excess energy over the best structure of this formula in the dataset ... 24 meV/atom
# Total energy ... -66.98 eV/cell
# V ... 35.87 Å³/atom
# DFT formation energy ... -0.50 eV per atom
data_SrEuAu
_symmetry_space_group_name_H-M 'F -4 3 m'
_symmetry_Int_Tables_number 216
_symmetry_space_group_name_Hall 'F -4 2 3'
_cell_length_a 7.5503
_cell_length_b 7.5503
_cell_length_c 7.5503
_cell_angle_alpha 90.00
_cell_angle_beta 90.00
_cell_angle_gamma 90.00
loop_
_atom_site_label
_atom_site_fract_x
_atom_site_fract_y
_atom_site_fract_z
Sr1 0.0000 0.0000 0.0000
Eu1 0.0000 0.0000 0.5000
Au1 0.2500 0.2500 0.7500

***

# DyTmThMg (GGA-PBE, optimized geometry)
# Excess energy over the best structure of this formula in the dataset ... 130 meV/atom
# Total energy ... -70.88 eV/cell
# V ... 29.42 Å³/atom
# DFT formation energy ... 0.09 eV per atom
data_DyTmThMg
_symmetry_space_group_name_H-M 'F -4 3 m'
_symmetry_Int_Tables_number 216
_symmetry_space_group_name_Hall 'F -4 2 3'
_cell_length_a 7.7786
_cell_length_b 7.7786
_cell_length_c 7.7786
_cell_angle_alpha 90.00
_cell_angle_beta 90.00
_cell_angle_gamma 90.00
loop_
_atom_site_label
_atom_site_fract_x
_atom_site_fract_y
_atom_site_fract_z
Dy1 0.0000 0.0000 0.0000
Tm1 0.2500 0.2500 0.7500
Th1 0.0000 0.0000 0.5000
Mg1 0.2500 0.2500 0.2500

***

# Ba2GeBPt6 (GGA-PBE, optimized geometry)
# Total energy ... -115.48 eV/cell
# V ... 19.93 Å³/atom
# DFT formation energy ... -0.64 eV per atom
data_Ba2GeBPt6
_symmetry_space_group_name_H-M 'C 1 2/m 1'
_symmetry_Int_Tables_number 12
_cell_length_a 10.6070
_cell_length_b 6.0745
_cell_length_c 7.1370
_cell_angle_alpha 90.00
_cell_angle_beta 119.92
_cell_angle_gamma 90.00
loop_
_symmetry_equiv_pos_as_xyz
'x,y,z'
'-x,-y,-z'
'-x,y,-z'
'x,-y,z'
'x+1/2,y+1/2,z'
'-x+1/2,-y+1/2,-z'
'-x+1/2,y+1/2,-z'
'x+1/2,-y+1/2,z'
loop_
_atom_site_label
_atom_site_fract_x
_atom_site_fract_y
_atom_site_fract_z
Ba1 0.2151 0.0000 0.1444
Ge1 0.0000 0.5000 0.0000
B1 0.0000 0.0000 0.5000
Pt1 0.0342 0.2708 0.3302
Pt2 0.2380 0.0000 0.6696

***

# SiTePt2 (GGA-PBE, optimized geometry)
# ΔE_f (raw) ... 0.095 eV per atom
# Excess energy over the best structure of this formula in the dataset ... 483 meV/atom
# Total energy ... -81.07 eV/cell
# V ... 17.84 Å³/atom
data_SiTePt2
_symmetry_space_group_name_H-M 'F m -3 m'
_symmetry_Int_Tables_number 225
_symmetry_space_group_name_Hall '-F 4 2 3'
_cell_length_a 6.5839
_cell_length_b 6.5839
_cell_length_c 6.5839
_cell_angle_alpha 90.00
_cell_angle_beta 90.00
_cell_angle_gamma 90.00
loop_
_atom_site_label
_atom_site_fract_x
_atom_site_fract_y
_atom_site_fract_z
Si1 0.0000 0.0000 0.0000
Te1 0.0000 0.0000 0.5000
Pt1 0.2500 0.2500 0.2500

***

# Ca2SnS4 (GGA-PBE, optimized geometry)
# ΔE_f (raw) ... -1.284 eV per atom
# Excess energy over the best structure of this formula in the dataset ... 114 meV/atom
# Total energy ... -134.02 eV/cell
# V ... 25.27 Å³/atom
data_Ca2SnS4
_symmetry_space_group_name_H-M 'P 1 21/c 1'
_symmetry_Int_Tables_number 14
_cell_length_a 7.0926
_cell_length_b 8.7109
_cell_length_c 12.5032
_cell_angle_alpha 90.00
_cell_angle_beta 113.66
_cell_angle_gamma 90.00
loop_
_symmetry_equiv_pos_as_xyz
'x,y,z'
'-x,-y,-z'
'-x,y+1/2,-z+1/2'
'x,-y+1/2,z+1/2'
loop_
_atom_site_label
_atom_site_fract_x
_atom_site_fract_y
_atom_site_fract_z
Ca1 0.0200 0.0246 0.1886
Ca2 0.2611 0.6265 0.0551
Sn1 0.3836 0.2193 0.0805
S1 0.1295 0.1512 0.6359
S2 0.2648 0.5386 0.5462
S3 0.2649 0.7360 0.2779
S4 0.3205 0.1292 0.4077

***

no.,mass density (g cm⁻³)
1,10.30
2,9.64
3,8.20
4,5.34
5,7.64
6,6.22
7,8.01
8,7.59
9,8.21
10,6.69
11,4.21
12,9.09
13,5.37
14,3.03
15,10.30
16,6.74
17,8.30
18,12.74
19,12.70
20,3.07